No. 1
Computed, not measured: a relaxed structure of AsI4Cl at the PBE level of DFT.

The structure belongs to space group C2/m (No. 12); the cell edges are 15.494, 8.746 and 7.936 Å and the angles 90.00°, 107.01° and 90.00°. The asymmetric unit holds As at (0.071, 0.000, 0.322), I at (0.000, 0.236, 0.500), I at (0.098, 0.214, 0.045), I at (0.229, 0.000, 0.537) and Cl at (0.244, 0.500, 0.919).

Its energy relative to the elements, uncorrected is -0.0199 eV per atom.

No. 2
Computed, not measured: a relaxed structure of CsTlHg5 at the PBE level of DFT.

The structure belongs to space group P4/mmm (No. 123); the cell edges are 4.739, 4.739 and 11.060 Å and the angles 90.00°, 90.00° and 90.00°. The asymmetric unit holds Cs at (0.000, 0.000, 0.000), Tl at (0.500, 0.500, 0.500), Hg at (0.000, 0.000, 0.500) and Hg at (0.000, 0.500, 0.272).

For the final energy, the calculation gives -0.794 eV per atom.

No. 3
Computed, not measured: a relaxed structure of Tb4Zn5Co2 at the PBE level of DFT.

The structure belongs to space group P2/m (No. 10); the cell edges are 6.920, 3.742 and 8.710 Å and the angles 90.00°, 95.01° and 90.00°. The asymmetric unit holds Tb at (0.173, 0.000, 0.353), Tb at (0.241, 0.000, 0.937), Zn at (0.189, 0.500, 0.654), Zn at (0.438, 0.500, 0.188), Zn at (0.500, 0.500, 0.500) and Co at (0.063, 0.500, 0.133).

For the final energy, the calculation gives -3.820 eV per atom.

No. 4
Computed, not measured: a relaxed structure of SnMo2AsI at the PBE level of DFT.

The structure belongs to space group P4/mmm (No. 123); the cell edges are 5.414, 5.414 and 5.154 Å and the angles 90.00°, 90.00° and 90.00°. The asymmetric unit holds Sn at (0.000, 0.000, 0.000), Mo at (0.000, 0.500, 0.000), As at (0.000, 0.000, 0.500) and I at (0.500, 0.500, 0.500).

Its energy relative to the elements, uncorrected is 1.7230 eV per atom.

No. 5
Computed, not measured: a relaxed structure of GaHg3N at the PBE level of DFT.

The structure belongs to space group Pm-3m (No. 221); the cell edges are 5.404, 5.404 and 5.404 Å and the angles 90.00°, 90.00° and 90.00°. The asymmetric unit holds Ga at (0.000, 0.000, 0.000), Hg at (0.000, 0.000, 0.500) and N at (0.500, 0.500, 0.500).

Its energy relative to the elements, uncorrected is 1.0456 eV per atom.

No. 6
Computed, not measured: a relaxed structure of Li3SmZn2 at the PBE level of DFT.

The structure belongs to space group C2/m (No. 12); the cell edges are 13.638, 4.384 and 9.248 Å and the angles 90.00°, 123.52° and 90.00°. The asymmetric unit holds Li at (0.058, 0.000, 0.397), Li at (0.073, 0.500, 0.683), Li at (0.230, 0.500, 0.569), Sm at (0.134, 0.000, 0.010), Zn at (0.082, 0.500, 0.208) and Zn at (0.203, 0.000, 0.737).

For the final energy, the calculation gives -2.301 eV per atom.

No. 7
Computed, not measured: a relaxed structure of LiScHgIr at the PBE level of DFT.

The structure belongs to space group F-43m (No. 216); the cell edges are 6.511, 6.511 and 6.511 Å and the angles 90.00°, 90.00° and 90.00°. The asymmetric unit holds Li at (0.000, 0.000, 0.000), Sc at (0.000, 0.000, 0.500), Hg at (0.250, 0.250, 0.750) and Ir at (0.250, 0.250, 0.250).

For the final energy, the calculation gives -4.739 eV per atom.

No. 8
Computed, not measured: a relaxed structure of BaCu4Sb3O12 at the PBE level of DFT.

The structure belongs to space group R32 (No. 155, hexagonal axes); the cell edges are 11.0203, 11.0203 and 7.9844 Å and the angles 90.00°, 90.00° and 120.00°. The asymmetric unit holds Ba at (0.0000, 0.0000, 0.0000), Cu at (0.0000, 0.0000, 0.5000), Cu at (0.0000, 0.4077, 0.5000), Sb at (0.0000, 0.5709, 0.0000), O at (0.0000, 0.5931, 0.5000), O at (0.0000, 0.8257, 0.5000) and O at (0.0616, 0.2131, 0.2123).

Its energy relative to the elements, uncorrected is -1.1772 eV per atom.